Entry 1:
# LiThSb2

A geometry-optimized LiThSb2 structure (PBE, Alexandria via LeMat-Bulk).

Values from the calculation:
symmetry	P4/mmm, No. 123
distance to the lowest polymorph of the same formula	134	meV per atom
formation energy (no corrections)	-0.63	eV per atom
total magnetization	0.0	Bohr magnetons per cell

a = 4.125 Å, b = 5.043 Å, c = 5.043 Å
α = 90.00°, β = 90.00°, γ = 90.00°
Element x y z (fractional)
Th: 0.500 0.000 0.000
Sb: 0.000 0.500 0.000
Sb: 0.000 0.000 0.500
Li: 0.500 0.500 0.500

***

Entry 2:
# YAlPt4

A geometry-optimized YAlPt4 structure (PBE, Alexandria via LeMat-Bulk).

Values from the calculation:
symmetry	Cmcm, No. 63
distance to the lowest polymorph of the same formula	0	meV per atom
total magnetization	0.0	Bohr magnetons per cell

a = 3.956 Å, b = 6.627 Å, c = 8.211 Å
α = 90.00°, β = 103.94°, γ = 90.00°
Element x y z (fractional)
Y: 0.899 0.750 0.797
Y: 0.101 0.250 0.203
Pt: 0.923 0.250 0.847
Pt: 0.323 0.458 0.645
Pt: 0.323 0.042 0.645
Pt: 0.077 0.750 0.153
Pt: 0.500 0.500 0.000
Pt: 0.500 0.000 0.000
Pt: 0.677 0.542 0.355
Pt: 0.677 0.958 0.355
Al: 0.768 0.250 0.537
Al: 0.232 0.750 0.463

***

Entry 3:
# FeRe2Hg

A geometry-optimized FeRe2Hg structure (PBE, Alexandria via LeMat-Bulk).

Values from the calculation:
symmetry	F-43m, No. 216
distance to the lowest polymorph of the same formula	369	meV per atom
total magnetization	2.8	Bohr magnetons per cell

a = 4.458 Å, b = 4.458 Å, c = 4.458 Å
α = 60.00°, β = 60.00°, γ = 60.00°
Each line ends with the local moment (μB).
Element x y z (fractional)
Fe: 0.500 0.500 0.500  2.60
Re: 0.250 0.250 0.250  0.30
Re: 0.000 0.000 0.000  -0.12
Hg: 0.750 0.750 0.750  -0.01

***

Entry 4:
# CaSiAg3

A geometry-optimized CaSiAg3 structure (PBE, Alexandria via LeMat-Bulk).

Values from the calculation:
symmetry	Pm-3m, No. 221
distance to the lowest polymorph of the same formula	0	meV per atom
formation energy (no corrections)	-0.04	eV per atom
total magnetization	0.0	Bohr magnetons per cell

a = 4.844 Å, b = 4.844 Å, c = 4.844 Å
α = 90.00°, β = 90.00°, γ = 90.00°
Element x y z (fractional)
Ca: 0.500 0.500 0.500
Ag: 0.000 0.500 0.000
Ag: 0.000 0.000 0.500
Ag: 0.500 0.000 0.000
Si: 0.000 0.000 0.000

***

Entry 5:
# SrAl2Co

A geometry-optimized SrAl2Co structure (PBE, Alexandria via LeMat-Bulk).

Values from the calculation:
symmetry	Fm-3m, No. 225
total magnetization	0.0	Bohr magnetons per cell
raw total energy	-3.823	eV per atom

a = 4.723 Å, b = 4.723 Å, c = 4.723 Å
α = 60.00°, β = 60.00°, γ = 60.00°
Element x y z (fractional)
Al: 0.750 0.750 0.750
Al: 0.250 0.250 0.250
Sr: 0.500 0.500 0.500
Co: 0.000 0.000 0.000

***

Entry 6:
# DyHo2ErP4

A geometry-optimized DyHo2ErP4 structure (PBE, Alexandria via LeMat-Bulk).

Values from the calculation:
symmetry	P2/m, No. 10
total magnetization	0.0	Bohr magnetons per cell
raw total energy	-6.609	eV per atom

a = 3.989 Å, b = 6.905 Å, c = 6.905 Å
α = 109.47°, β = 90.00°, γ = 90.00°
Element x y z (fractional)
Ho: 0.500 0.000 0.500
Ho: 0.000 0.500 0.500
P: 0.500 0.249 0.250
P: 0.500 0.751 0.750
P: 0.000 0.249 0.750
P: 0.000 0.751 0.250
Dy: 0.500 0.500 0.000
Er: 0.000 0.000 0.000

***

Entry 7:
# TaIrN3

A geometry-optimized TaIrN3 structure (PBE, Alexandria via LeMat-Bulk).

Values from the calculation:
symmetry	Pm-3m, No. 221
formation energy (no corrections)	1.24	eV per atom
total magnetization	0.0	Bohr magnetons per cell

a = 3.830 Å, b = 3.830 Å, c = 3.830 Å
α = 90.00°, β = 90.00°, γ = 90.00°
Element x y z (fractional)
Ta: 0.500 0.500 0.500
Ir: 0.000 0.000 0.000
N: 0.500 0.000 0.000
N: 0.000 0.000 0.500
N: 0.000 0.500 0.000

***

Entry 8:
# HgW

A geometry-optimized HgW structure (PBE, Alexandria via LeMat-Bulk).

Values from the calculation:
symmetry	P-6m2, No. 187
distance to the lowest polymorph of the same formula	348	meV per atom
total magnetization	0.0	Bohr magnetons per cell

a = 2.935 Å, b = 2.935 Å, c = 4.902 Å
α = 90.00°, β = 90.00°, γ = 120.00°
Element x y z (fractional)
W: 0.333 0.667 0.500
Hg: 0.000 0.000 0.000